# 1
NiSbSe | GGA-PBEsol | relaxed

crystal system	trigonal
calculated volume	56.9	Å³/cell
SG	P3m1, No. 156
formation energy without anion corrections	-278	meV per atom
magnetic moment	0.0	μB/f.u.

a = 3.6939 Å, b = 3.6939 Å, c = 4.8135 Å
α = 90.00°, β = 90.00°, γ = 120.00°
Atoms (fractional coordinates):
Ni 0.0000 0.0000 0.0000
Sb 0.6667 0.3333 0.7156
Se 0.3333 0.6667 0.2223


# 2
NiSb2Se | GGA-PBEsol | relaxed

crystal system	tetragonal
calculated volume	83.1	Å³/cell
SG	P4mm, No. 99
formation energy without anion corrections	100	meV per atom
magnetic moment	0.0	μB/f.u.

a = 3.0633 Å, b = 3.0633 Å, c = 8.8589 Å
α = 90.00°, β = 90.00°, γ = 90.00°
Atoms (fractional coordinates):
Ni 0.0000 0.0000 0.0000
Sb 0.0000 0.0000 0.4580
Sb 0.5000 0.5000 0.7800
Se 0.5000 0.5000 0.1327


# 3
Ni2SbSe | GGA-PBEsol | relaxed

crystal system	orthorhombic
calculated volume	66.6	Å³/cell
SG	Pmmm, No. 47
formation energy without anion corrections	6	meV per atom
magnetic moment	0.0	μB/f.u.

a = 3.3518 Å, b = 3.3795 Å, c = 5.8789 Å
α = 90.00°, β = 90.00°, γ = 90.00°
Atoms (fractional coordinates):
Ni 0.0000 0.0000 0.2103
Ni 0.0000 0.0000 0.7897
Sb 0.5000 0.5000 0.0000
Se 0.5000 0.0000 0.5000


# 4
Ni2SbSe | GGA-PBEsol | relaxed

crystal system	orthorhombic
calculated volume	61.0	Å³/cell
SG	Cmmm, No. 65
formation energy without anion corrections	102	meV per atom
magnetic moment	0.0	μB/f.u.

a = 4.3360 Å, b = 4.3360 Å, c = 3.2469 Å
α = 90.00°, β = 90.00°, γ = 92.26°
Atoms (fractional coordinates):
Ni 0.0000 0.5000 0.0000
Ni 0.5000 0.0000 0.0000
Sb 0.0000 0.0000 0.5000
Se 0.5000 0.5000 0.5000


# 5
NiSb2Se | GGA-PBEsol | relaxed

crystal system	tetragonal
calculated volume	210.2	Å³/cell
SG	I-42d, No. 122
formation energy without anion corrections	36	meV per atom
magnetic moment	0.0	μB/f.u.

a = 7.2834 Å, b = 7.2834 Å, c = 7.2834 Å
α = 131.83°, β = 131.83°, γ = 70.50°
Atoms (fractional coordinates):
Ni 0.0000 0.0000 0.0000
Ni 0.7500 0.2500 0.5000
Sb 0.0611 0.6250 0.9361
Sb 0.3750 0.3111 0.4361
Sb 0.6889 0.1250 0.0639
Sb 0.8750 0.9389 0.5639
Se 0.2500 0.7500 0.5000
Se 0.5000 0.5000 0.0000


# 6
NiSbSe | GGA-PBEsol | relaxed

crystal system	cubic
calculated volume	218.6	Å³/cell
SG	P2_13, No. 198
formation energy without anion corrections	-355	meV per atom
magnetic moment	0.0	μB/f.u.

a = 6.0239 Å, b = 6.0239 Å, c = 6.0239 Å
α = 90.00°, β = 90.00°, γ = 90.00°
Atoms (fractional coordinates):
Ni 0.0106 0.4894 0.5106
Ni 0.4894 0.5106 0.0106
Ni 0.5106 0.0106 0.4894
Ni 0.9894 0.9894 0.9894
Sb 0.1329 0.8671 0.3671
Sb 0.3671 0.1329 0.8671
Sb 0.6329 0.6329 0.6329
Sb 0.8671 0.3671 0.1329
Se 0.1258 0.6258 0.8742
Se 0.3742 0.3742 0.3742
Se 0.6258 0.8742 0.1258
Se 0.8742 0.1258 0.6258


# 7
Ni2SbSe | GGA-PBEsol | relaxed

crystal system	monoclinic
calculated volume	64.1	Å³/cell
SG	Cm, No. 8
formation energy without anion corrections	-267	meV per atom
magnetic moment	0.0	μB/f.u.

a = 3.9005 Å, b = 3.9005 Å, c = 5.0494 Å
α = 94.92°, β = 94.92°, γ = 57.01°
Atoms (fractional coordinates):
Ni 0.0000 0.0000 0.0000
Ni 0.0529 0.0529 0.5105
Sb 0.7001 0.7001 0.2432
Se 0.3846 0.3846 0.7286


# 8
TiNi2SbSe | GGA-PBEsol | relaxed

crystal system	tetragonal
calculated volume	104.7	Å³/cell
SG	P4/mmm, No. 123
formation energy without anion corrections	771	meV per atom
magnetic moment	0.0	μB/f.u.

a = 4.5252 Å, b = 4.5252 Å, c = 5.1116 Å
α = 90.00°, β = 90.00°, γ = 90.00°
Atoms (fractional coordinates):
Ti 0.0000 0.0000 0.0000
Ni 0.0000 0.5000 0.5000
Ni 0.5000 0.0000 0.5000
Sb 0.0000 0.0000 0.5000
Se 0.5000 0.5000 0.0000


# 9
SiNiSb3 | GGA-PBEsol | relaxed

crystal system	cubic
calculated volume	117.3	Å³/cell
SG	Pm-3m, No. 221
formation energy without anion corrections	533	meV per atom
magnetic moment	0.0	μB/f.u.

a = 4.8955 Å, b = 4.8955 Å, c = 4.8955 Å
α = 90.00°, β = 90.00°, γ = 90.00°
Atoms (fractional coordinates):
Si 0.0000 0.0000 0.0000
Ni 0.5000 0.5000 0.5000
Sb 0.0000 0.5000 0.5000
Sb 0.5000 0.0000 0.5000
Sb 0.5000 0.5000 0.0000


# 10
SiNiSb | GGA-PBEsol | relaxed

crystal system	tetragonal
calculated volume	101.0	Å³/cell
SG	P4/nmm, No. 129
formation energy without anion corrections	-43	meV per atom
magnetic moment	0.0	μB/f.u.

a = 3.9901 Å, b = 3.9901 Å, c = 6.3461 Å
α = 90.00°, β = 90.00°, γ = 90.00°
Atoms (fractional coordinates):
Si 0.2500 0.2500 0.2024
Si 0.7500 0.7500 0.7976
Ni 0.2500 0.7500 0.0000
Ni 0.7500 0.2500 0.0000
Sb 0.2500 0.2500 0.6856
Sb 0.7500 0.7500 0.3144


# 11
Si2NiSb | GGA-PBEsol | relaxed

crystal system	cubic
calculated volume	64.0	Å³/cell
SG	F-43m, No. 216
formation energy without anion corrections	407	meV per atom
magnetic moment	0.0	μB/f.u.

a = 4.4903 Å, b = 4.4903 Å, c = 4.4903 Å
α = 60.00°, β = 60.00°, γ = 60.00°
Atoms (fractional coordinates):
Si 0.0000 0.0000 0.0000
Si 0.2500 0.2500 0.2500
Ni 0.5000 0.5000 0.5000
Sb 0.7500 0.7500 0.7500


# 12
SiNi6Sb | GGA-PBEsol | relaxed

crystal system	orthorhombic
calculated volume	364.5	Å³/cell
SG	Cmmm, No. 65
formation energy without anion corrections	-336	meV per atom
magnetic moment	0.0	μB/f.u.

a = 6.1781 Å, b = 6.1781 Å, c = 10.1373 Å
α = 90.00°, β = 90.00°, γ = 109.61°
Atoms (fractional coordinates):
Si 0.0000 0.0000 0.2421
Si 0.0000 0.0000 0.7579
Si 0.2519 0.7481 0.0000
Si 0.7481 0.2519 0.0000
Ni 0.0000 0.0000 0.0000
Ni 0.0000 0.0000 0.5000
Ni 0.1152 0.3698 0.1188
Ni 0.1152 0.3698 0.8812
Ni 0.1171 0.3616 0.3673
Ni 0.1171 0.3616 0.6327
Ni 0.2454 0.7546 0.2384
Ni 0.2454 0.7546 0.7616
Ni 0.3616 0.1171 0.3673
Ni 0.3616 0.1171 0.6327
Ni 0.3698 0.1152 0.1188
Ni 0.3698 0.1152 0.8812
Ni 0.5000 0.5000 0.0000
Ni 0.5000 0.5000 0.5000
Ni 0.6302 0.8848 0.1188
Ni 0.6302 0.8848 0.8812
Ni 0.6384 0.8829 0.3673
Ni 0.6384 0.8829 0.6327
Ni 0.7546 0.2454 0.2384
Ni 0.7546 0.2454 0.7616
Ni 0.8829 0.6384 0.3673
Ni 0.8829 0.6384 0.6327
Ni 0.8848 0.6302 0.1188
Ni 0.8848 0.6302 0.8812
Sb 0.2534 0.7466 0.5000
Sb 0.5000 0.5000 0.2455
Sb 0.5000 0.5000 0.7545
Sb 0.7466 0.2534 0.5000